(i)
Compound: La4ZnN2
Source: the Alexandria database
Functional: PBE-GGA
Structure: relaxed

Results
Magnetic moment: 0.00 μB/atom
V: 197.4 Å³/cell

Lattice parameters (Å, degrees): 5.6945 5.6945 7.2989 67.04 67.04 90.00
Last column: nearest neighbours and their distance in Å.
Sites, in units of the cell vectors:
Zn: 0.0000 0.0000 0.0000  4 La 2.85
N: 0.4459 0.4459 0.1082  1 N 1.32
N: 0.5541 0.5541 0.8918  1 N 1.32
La: 0.2620 0.2620 0.4760  1 N 2.24
La: 0.7380 0.7380 0.5240  1 N 2.24
La: 0.0000 0.5000 0.0000  2 Zn 2.85, 4 N 2.92
La: 0.5000 0.0000 0.0000  2 Zn 2.85, 4 N 2.92

(ii)
Compound: La4ZnN2
Source: the Alexandria database
Functional: PBE-GGA
Structure: relaxed

Results
Magnetic moment: 0.00 μB/atom
V: 330.5 Å³/cell

Lattice parameters (Å, degrees): 3.7949 6.6385 13.6894 90.00 90.00 106.61
Last column: nearest neighbours and their distance in Å.
Sites, in units of the cell vectors:
La: 0.7624 0.5249 0.1055  3 N 2.51-2.55
La: 0.7624 0.5249 0.3945  3 N 2.51-2.55
La: 0.2376 0.4751 0.8945  3 N 2.51-2.55
La: 0.2376 0.4751 0.6055  3 N 2.51-2.55
La: 0.9238 0.8475 0.7500  2 N 2.80, 2 Zn 3.02
La: 0.0762 0.1525 0.2500  2 N 2.80, 2 Zn 3.02
La: 0.5000 0.0000 0.0000  4 N 2.71
La: 0.5000 0.0000 0.5000  4 N 2.71
Zn: 0.6082 0.2165 0.7500  6 La 3.02-3.20
Zn: 0.3918 0.7835 0.2500  6 La 3.02-3.20
N: 0.1408 0.2816 0.4454  6 La 2.51-2.80
N: 0.8592 0.7184 0.9454  6 La 2.51-2.80
N: 0.1408 0.2816 0.0546  6 La 2.51-2.80
N: 0.8592 0.7184 0.5546  6 La 2.51-2.80

We find (ii) to be the most stable, with the next structure 38.3 kJ/mol of atoms higher.

(i)
Compound: La3ZrN
Source: the Alexandria database
Functional: PBE-GGA
Structure: relaxed

Results
Magnetic moment: 0.00 μB/atom
V: 169.7 Å³/cell

Lattice parameters (Å, degrees): 5.5367 5.5367 5.5367 90.00 90.00 90.00
Last column: nearest neighbours and their distance in Å.
Sites, in units of the cell vectors:
N: 0.5000 0.5000 0.5000  12 La 3.92
Zr: 0.0000 0.0000 0.0000  6 La 2.77
La: 0.0000 0.5000 0.0000  2 Zr 2.77
La: 0.0000 0.0000 0.5000  2 Zr 2.77
La: 0.5000 0.0000 0.0000  2 Zr 2.77

(ii)
Compound: La3ZrN
Source: the Alexandria database
Functional: PBE-GGA
Structure: relaxed

Results
Magnetic moment: 0.00 μB/atom
V: 134.5 Å³/cell

Lattice parameters (Å, degrees): 5.1234 5.1234 5.1234 90.00 90.00 90.00
Last column: nearest neighbours and their distance in Å.
Sites, in units of the cell vectors:
N: 0.0000 0.0000 0.0000  6 La 2.56
Zr: 0.5000 0.5000 0.5000  12 La 3.62
La: 0.0000 0.5000 0.0000  2 N 2.56
La: 0.0000 0.0000 0.5000  2 N 2.56
La: 0.5000 0.0000 0.0000  2 N 2.56

We find (ii) to be the most stable, with the next structure 165.5 kJ/mol of atoms higher.

(i)
Compound: NaLa
Source: the Alexandria database
Functional: PBE-GGA
Structure: relaxed

Results
Magnetic moment: 1.02 μB/atom
V: 829.1 Å³/cell

Lattice parameters (Å, degrees): 9.3944 9.3944 9.3944 90.00 90.00 90.00
Last column: nearest neighbours and their distance in Å.
Sites, in units of the cell vectors:
Na: 0.2500 0.0000 0.5000  4 La 3.32
Na: 0.7500 0.0000 0.5000  4 La 3.32
Na: 0.0000 0.5000 0.2500  4 La 3.32
Na: 0.0000 0.5000 0.7500  4 La 3.32
Na: 0.5000 0.2500 0.0000  4 La 3.32
Na: 0.5000 0.7500 0.0000  4 La 3.32
La: 0.2500 0.5000 0.0000  4 Na 3.32
La: 0.7500 0.5000 0.0000  4 Na 3.32
La: 0.5000 0.0000 0.2500  4 Na 3.32
La: 0.5000 0.0000 0.7500  4 Na 3.32
La: 0.0000 0.2500 0.5000  4 Na 3.32
La: 0.0000 0.7500 0.5000  4 Na 3.32

(ii)
Compound: NaLa
Source: the Alexandria database
Functional: PBE-GGA
Structure: relaxed

Results
Magnetic moment: 0.00 μB/atom
V: 144.5 Å³/cell

Lattice parameters (Å, degrees): 3.6687 8.8416 4.8928 90.00 90.00 114.45
Last column: nearest neighbours and their distance in Å.
Sites, in units of the cell vectors:
Na: 0.8710 0.6191 0.2500  6 Na 3.60-3.67, 5 La 3.77-3.92
Na: 0.1290 0.3809 0.7500  6 Na 3.60-3.67, 5 La 3.77-3.92
La: 0.3560 0.1066 0.2500  6 La 3.51-3.67, 5 Na 3.77-3.92
La: 0.6440 0.8934 0.7500  6 La 3.51-3.67, 5 Na 3.77-3.92

We find (ii) to be the most stable, with the next structure 122.8 kJ/mol of atoms higher.